The following is a DFT calculation (GGA-PBE) of a relaxed structure of Na3Ac2InS6.

The space group is C2/m (No. 12) and the conventional cell measures 7.254, 12.580 and 7.192 Å, with angles of 90.00, 109.40 and 90.00 degrees. The asymmetric unit holds Na at (0.000, 0.000, 0.000), Na at (0.000, 0.343, 0.000), Ac at (0.000, 0.168, 0.500), In at (0.000, 0.500, 0.500), S at (0.231, 0.500, 0.271) and S at (0.233, 0.346, 0.738).

The calculation puts the electronic total energy at -114.29 eV per cell. As for the density of states at the Fermi level: 0.00 states/eV/cell.



The following is a DFT calculation (GGA-PBE) of a relaxed structure of NaAc2InS5.

The space group is Cmc2_1 (No. 36) and the conventional cell measures 4.184, 17.590 and 12.196 Å, with angles of 90.00, 90.00 and 90.00 degrees. The asymmetric unit holds Na at (0.000, 0.211, 0.000), Ac at (0.000, 0.121, 0.672), Ac at (0.000, 0.138, 0.294), In at (0.000, 0.445, 0.444), S at (0.000, 0.045, 0.056), S at (0.000, 0.291, 0.660), S at (0.000, 0.319, 0.340), S at (0.000, 0.367, 0.990) and S at (0.000, 0.495, 0.760).

The calculation puts the electronic total energy at -188.82 eV per cell.